Compound: TbHoPb
Source: Alexandria via LeMat-Bulk
Functional: PBE-GGA
Structure: optimized geometry

Results
- Volume: 33.3 Å³ per atom
- Excess energy over the best structure of this formula in the dataset: 507 meV/atom
- Energy of formation from the pure elements: 0.2619 eV/atom

Structure (extended XYZ):
```
3
Lattice="-0.6406 0.8668 3.1526 -3.2542 -0.4807 -0.5291 2.8045 -8.7886 1.2257" Properties=species:S:1:pos:R:3 pbc="T T T"
Pb 0.1777 -1.7822 0.5261
Tb 0.8041 -8.0643 2.3807
Ho 0.4752 -4.7658 1.4069
```

=====

Compound: SrLaAg2S4
Source: Alexandria via LeMat-Bulk
Functional: PBE-GGA
Structure: optimized geometry

Results
- Volume: 24.0 Å³ per atom
- Formation energy without anion corrections: -9.27 eV/f.u.

Structure (extended XYZ):
```
8
Lattice="7.0505 0.0000 0.0000 3.5252 5.2277 0.0228 3.5252 0.4511 5.2082" Properties=species:S:1:pos:R:3 pbc="T T T"
Sr 7.0505 2.8394 2.6155
La 0.0000 0.0000 0.0000
Ag 3.5252 1.4230 1.3108
Ag 10.5757 4.2558 3.9202
S 8.6632 5.4366 2.8168
S 8.6632 0.2422 2.4142
S 5.4377 3.2528 5.1875
S 5.4377 2.4260 0.0435
```

=====

Compound: Dy4Er3Sc
Source: Alexandria via LeMat-Bulk
Functional: PBE-GGA
Structure: optimized geometry

Results
- Volume: 30.6 Å³ per atom
- Excess energy over the best structure of this formula in the dataset: 0 meV/atom
- Energy of formation from the pure elements: 0.0129 eV/atom

Structure (extended XYZ):
```
16
Lattice="6.1821 0.0000 0.0000 0.0000 7.1490 0.0000 0.0000 0.0000 11.0700" Properties=species:S:1:pos:R:3 pbc="T T T"
Dy 0.9334 6.2372 0.0000
Dy 3.9854 0.9104 0.0000
Dy 6.0808 0.9152 2.7257
Dy 2.9897 6.2338 2.8093
Dy 0.8944 6.2386 5.5350
Dy 4.0245 0.9118 5.5350
Dy 2.9897 6.2338 8.2607
Dy 6.0808 0.9152 8.3443
Er 4.0019 4.4516 0.0000
Er 6.0516 4.4471 2.7609
Er 2.9606 2.7019 2.7742
Er 0.9108 2.6975 5.5350
Er 2.9606 2.7019 8.2959
Er 6.0516 4.4471 8.3092
Sc 0.9104 2.6983 0.0000
Sc 4.0015 4.4507 5.5350
```